No. 1
{
  "formula": "MgBePb4",
  "functional": "PBEsol",
  "state": "relaxed",
  "delta_e_f_ev_per_atom": 0.628,
  "spacegroup": "F-43m (216)",
  "final_energy_ev_per_atom": -2.990,
  "lattice": [[-0.823, 0.941, -6.182], [-0.662, -4.928, -3.879], [-5.595, -1.195, -2.654]],
  "species": ["Be", "Mg", "Pb", "Pb", "Pb", "Pb"],
  "frac_coords": [[0.750, 0.750, 0.750], [0.000, 0.000, 0.000], [0.375, 0.375, 0.375], [0.375, 0.375, 0.875], [0.875, 0.375, 0.375], [0.375, 0.875, 0.375]]
}

***

No. 2
{
  "formula": "TePtN2",
  "functional": "PBEsol",
  "state": "relaxed",
  "spacegroup": "R-3m (166)",
  "final_energy_ev_per_atom": -6.058,
  "lattice": [[3.256, 0.000, 0.000], [1.628, 2.820, 0.000], [1.628, 0.940, 6.230]],
  "species": ["Te", "Pt", "N", "N"],
  "frac_coords": [[0.500, 0.500, 0.500], [0.000, 0.000, 0.000], [0.895, 0.895, 0.314], [0.105, 0.105, 0.686]]
}

***

No. 3
{
  "formula": "Li2SmAl",
  "functional": "PBEsol",
  "state": "relaxed",
  "delta_e_f_ev_per_atom": -0.175,
  "spacegroup": "Fm-3m (225)",
  "final_energy_ev_per_atom": -3.454,
  "lattice": [[4.758, 0.000, 0.000], [2.379, 4.121, 0.000], [2.379, 1.374, 3.885]],
  "species": ["Al", "Sm", "Li", "Li"],
  "frac_coords": [[0.500, 0.500, 0.500], [0.000, 0.000, 0.000], [0.250, 0.250, 0.250], [0.750, 0.750, 0.750]]
}

***

No. 4
{
  "formula": "NaSiSn3",
  "functional": "PBEsol",
  "state": "relaxed",
  "spacegroup": "Pm-3m (221)",
  "final_energy_ev_per_atom": -2.983,
  "lattice": [[5.241, 0.000, 0.000], [0.000, 5.241, 0.000], [0.000, 0.000, 5.241]],
  "species": ["Na", "Si", "Sn", "Sn", "Sn"],
  "frac_coords": [[0.000, 0.000, 0.000], [0.500, 0.500, 0.500], [0.000, 0.500, 0.000], [0.000, 0.000, 0.500], [0.500, 0.000, 0.000]]
}

***

No. 5
{
  "formula": "MnCrSnN2",
  "functional": "PBEsol",
  "state": "relaxed",
  "spacegroup": "P4/mmm (123)",
  "final_energy_ev_per_atom": -7.512,
  "lattice": [[-3.419, -1.017, 0.728], [1.250, -2.679, 2.125], [-0.078, 3.039, 3.878]],
  "species": ["Cr", "Mn", "Sn", "N", "N"],
  "frac_coords": [[0.000, 0.000, 0.500], [0.000, 0.000, 0.000], [0.500, 0.500, 0.500], [0.000, 0.500, 0.000], [0.500, 0.000, 0.000]]
}

***

No. 6
{
  "formula": "Mg2Tl",
  "functional": "PBEsol",
  "state": "relaxed",
  "delta_e_f_ev_per_atom": -0.057,
  "spacegroup": "I4/mmm (139)",
  "final_energy_ev_per_atom": -2.079,
  "lattice": [[-2.985, -2.173, 0.706], [1.561, -1.091, 3.241], [-1.477, 5.392, 0.347]],
  "species": ["Tl", "Mg", "Mg"],
  "frac_coords": [[0.000, 0.000, 0.000], [0.336, 0.336, 0.672], [0.664, 0.664, 0.328]]
}

***

No. 7
{
  "formula": "ZrTc2",
  "functional": "PBEsol",
  "state": "relaxed",
  "delta_e_f_ev_per_atom": -0.290,
  "spacegroup": "P6_3/mmc (194)",
  "final_energy_ev_per_atom": -10.831,
  "lattice": [[5.170, 0.000, 0.000], [-2.585, 4.477, 0.000], [0.000, 0.000, 17.192]],
  "species": ["Tc", "Tc", "Tc", "Tc", "Tc", "Tc", "Tc", "Tc", "Tc", "Tc", "Tc", "Tc", "Tc", "Tc", "Tc", "Tc", "Zr", "Zr", "Zr", "Zr", "Zr", "Zr", "Zr", "Zr"],
  "frac_coords": [[0.333, 0.667, 0.873], [0.667, 0.333, 0.127], [0.667, 0.333, 0.373], [0.333, 0.667, 0.627], [0.000, 0.500, 0.000], [0.500, 0.000, 0.000], [0.500, 0.500, 0.000], [0.000, 0.500, 0.500], [0.500, 0.000, 0.500], [0.500, 0.500, 0.500], [0.677, 0.839, 0.750], [0.161, 0.323, 0.750], [0.161, 0.839, 0.750], [0.323, 0.161, 0.250], [0.839, 0.677, 0.250], [0.839, 0.161, 0.250], [0.000, 0.000, 0.907], [0.000, 0.000, 0.093], [0.000, 0.000, 0.407], [0.000, 0.000, 0.593], [0.333, 0.667, 0.156], [0.667, 0.333, 0.844], [0.667, 0.333, 0.656], [0.333, 0.667, 0.344]]
}

***

No. 8
{
  "formula": "YAlIn2",
  "functional": "PBEsol",
  "state": "relaxed",
  "delta_e_f_ev_per_atom": -0.438,
  "spacegroup": "P4/mmm (123)",
  "final_energy_ev_per_atom": -4.657,
  "lattice": [[4.428, 0.000, 0.000], [0.000, 4.428, 0.000], [0.000, 0.000, 4.495]],
  "species": ["Y", "Al", "In", "In"],
  "frac_coords": [[0.500, 0.500, 0.500], [0.000, 0.000, 0.500], [0.000, 0.500, 0.000], [0.500, 0.000, 0.000]]
}